DFT (PBE) results for crystalline YZr2Si at its relaxed geometry.

The structure belongs to space group Cmmm (No. 65); the cell edges are 6.2279, 8.8290 and 3.1873 Å and the angles 90.00°, 90.00° and 90.00°. The asymmetric unit holds Y at (0.0000, 0.0000, 0.0000), Zr at (0.2500, 0.2500, 0.5000) and Si at (0.0000, 0.5000, 0.0000).

The value obtained for the uncorrected formation energy is -0.03 eV/atom. The energy above the lowest structure with this stoichiometry comes out at 260 meV per atom. The value obtained for the uncorrected energy is -7.273 eV per atom.